A relaxed Cu2TcAu crystal. Source: Alexandria, functional GGA-PBEsol.

Computed properties:
As for the total magnetization: 0.56 μB per cell. The formation energy is 34.3 kJ per mole of atoms. For the calculated density, the calculation gives 12.60 g cm⁻³.

a = 2.6276 Å, b = 4.4988 Å, c = 4.7052 Å
α = 90.00°, β = 90.00°, γ = 90.00°
Closest atoms and distances in Å follow each position.
Sites, in units of the cell vectors:
Cu1 0.0000 0.0000 0.0000  4 Au 2.60, 6 Cu 2.63-2.69
Cu2 0.5000 0.0000 0.5000  4 Tc 2.60, 6 Cu 2.63-2.69
Tc1 0.0000 0.5000 0.5000  4 Cu 2.60, 2 Tc 2.63, 4 Au 2.69
Au1 0.5000 0.5000 0.0000  4 Cu 2.60, 2 Au 2.63, 4 Tc 2.69